(1)
CdClF: optimized geometry, PBE.

Cell: 8.3136 8.3136 8.3136 Å, 112.16 112.16 112.16°
With the nearest neighbours (Å) after each atom.
Atoms (fractional coordinates):
Cd 0.2409 0.2815 0.7536  3 F 2.27-2.33
Cd 0.2464 0.7591 0.7185  3 F 2.27-2.33
Cd 0.2815 0.7536 0.2409  3 F 2.27-2.33
Cd 0.7185 0.2464 0.7591  3 F 2.27-2.33
Cd 0.7536 0.2409 0.2815  3 F 2.27-2.33
Cd 0.7591 0.7185 0.2464  3 F 2.27-2.33
Cl 0.0037 0.3733 0.1358  3 Cd 2.56-2.86
Cl 0.1358 0.0037 0.3733  3 Cd 2.56-2.86
Cl 0.3733 0.1358 0.0037  3 Cd 2.56-2.86
Cl 0.6267 0.8642 0.9963  3 Cd 2.56-2.86
Cl 0.8642 0.9963 0.6267  3 Cd 2.56-2.86
Cl 0.9963 0.6267 0.8642  3 Cd 2.56-2.86
F 0.1005 0.4026 0.5693  3 Cd 2.27-2.33
F 0.4026 0.5693 0.1005  3 Cd 2.27-2.33
F 0.4307 0.8995 0.5974  3 Cd 2.27-2.33
F 0.5693 0.1005 0.4026  3 Cd 2.27-2.33
F 0.5974 0.4307 0.8995  3 Cd 2.27-2.33
F 0.8995 0.5974 0.4307  3 Cd 2.27-2.33

Total DFT energy (no corrections) ... -56.33 eV/cell
ΔE_f (raw) ... -1.5853 eV/atom
E above lowest polymorph ... 60.4 meV/atom

(2)
CdCl2F: optimized geometry, PBE.

Cell: 4.6611 4.6611 4.6611 Å, 60.00 60.00 60.00°
With the nearest neighbours (Å) after each atom.
Atoms (fractional coordinates):
Cd 0.0000 0.0000 0.0000  8 Cl 2.85
Cl 0.2500 0.2500 0.2500  4 Cd 2.85, 4 F 2.85
Cl 0.7500 0.7500 0.7500  4 Cd 2.85, 4 F 2.85
F 0.5000 0.5000 0.5000  8 Cl 2.85

Total DFT energy (no corrections) ... -8.65 eV/cell
ΔE_f (raw) ... -0.5430 eV/atom
E above lowest polymorph ... 157.2 meV/atom

(3)
Cd5Cl3F12: optimized geometry, PBE.

Cell: 12.3147 12.3147 12.3147 Å, 109.47 109.47 109.47°
With the nearest neighbours (Å) after each atom.
Atoms (fractional coordinates):
Cd 0.0000 0.0000 0.0000  6 F 2.25
Cd 0.0000 0.0000 0.5000  6 F 2.25
Cd 0.0000 0.5000 0.0000  6 F 2.25
Cd 0.0000 0.5000 0.5000  6 F 2.25
Cd 0.1250 0.7500 0.8750  4 F 2.17
Cd 0.1250 0.8750 0.2500  4 F 2.17
Cd 0.2500 0.1250 0.8750  4 F 2.17
Cd 0.2500 0.6250 0.3750  4 F 2.17
Cd 0.3750 0.2500 0.6250  4 F 2.17
Cd 0.3750 0.6250 0.7500  4 F 2.17
Cd 0.5000 0.0000 0.0000  6 F 2.25
Cd 0.5000 0.0000 0.5000  6 F 2.25
Cd 0.5000 0.5000 0.0000  6 F 2.25
Cd 0.5000 0.5000 0.5000  6 F 2.25
Cd 0.6250 0.3750 0.2500  4 F 2.17
Cd 0.6250 0.7500 0.3750  4 F 2.17
Cd 0.7500 0.3750 0.6250  4 F 2.17
Cd 0.7500 0.8750 0.1250  4 F 2.17
Cd 0.8750 0.1250 0.7500  4 F 2.17
Cd 0.8750 0.2500 0.1250  4 F 2.17
Cl 0.1250 0.2500 0.3750  4 F 2.72
Cl 0.1250 0.3750 0.7500  4 F 2.72
Cl 0.2500 0.3750 0.1250  4 F 2.72
Cl 0.2500 0.8750 0.6250  4 F 2.72
Cl 0.3750 0.1250 0.2500  4 F 2.72
Cl 0.3750 0.7500 0.1250  4 F 2.72
Cl 0.6250 0.2500 0.8750  4 F 2.72
Cl 0.6250 0.8750 0.7500  4 F 2.72
Cl 0.7500 0.1250 0.3750  4 F 2.72
Cl 0.7500 0.6250 0.8750  4 F 2.72
Cl 0.8750 0.6250 0.2500  4 F 2.72
Cl 0.8750 0.7500 0.6250  4 F 2.72
F 0.0182 0.2018 0.0894  2 Cd 2.17-2.25
F 0.0182 0.3164 0.9288  2 Cd 2.17-2.25
F 0.0712 0.5894 0.3876  2 Cd 2.17-2.25
F 0.0712 0.9818 0.6836  2 Cd 2.17-2.25
F 0.0894 0.0182 0.2018  2 Cd 2.17-2.25
F 0.0894 0.5712 0.8876  2 Cd 2.17-2.25
F 0.1124 0.7018 0.6836  2 Cd 2.17-2.25
F 0.1124 0.9106 0.4288  2 Cd 2.17-2.25
F 0.1836 0.2018 0.6124  2 Cd 2.17-2.25
F 0.1836 0.4818 0.5712  2 Cd 2.17-2.25
F 0.2018 0.0894 0.0182  2 Cd 2.17-2.25
F 0.2018 0.6124 0.1836  2 Cd 2.17-2.25
F 0.2982 0.3164 0.8876  2 Cd 2.17-2.25
F 0.2982 0.4818 0.4106  2 Cd 2.17-2.25
F 0.3164 0.8876 0.2982  2 Cd 2.17-2.25
F 0.3164 0.9288 0.0182  2 Cd 2.17-2.25
F 0.3876 0.0712 0.5894  2 Cd 2.17-2.25
F 0.3876 0.8164 0.7982  2 Cd 2.17-2.25
F 0.4106 0.2982 0.4818  2 Cd 2.17-2.25
F 0.4106 0.6124 0.9288  2 Cd 2.17-2.25
F 0.4288 0.1124 0.9106  2 Cd 2.17-2.25
F 0.4288 0.8164 0.5182  2 Cd 2.17-2.25
F 0.4818 0.4106 0.2982  2 Cd 2.17-2.25
F 0.4818 0.5712 0.1836  2 Cd 2.17-2.25
F 0.5182 0.4288 0.8164  2 Cd 2.17-2.25
F 0.5182 0.5894 0.7018  2 Cd 2.17-2.25
F 0.5712 0.1836 0.4818  2 Cd 2.17-2.25
F 0.5712 0.8876 0.0894  2 Cd 2.17-2.25
F 0.5894 0.3876 0.0712  2 Cd 2.17-2.25
F 0.5894 0.7018 0.5182  2 Cd 2.17-2.25
F 0.6124 0.1836 0.2018  2 Cd 2.17-2.25
F 0.6124 0.9288 0.4106  2 Cd 2.17-2.25
F 0.6836 0.0712 0.9818  2 Cd 2.17-2.25
F 0.6836 0.1124 0.7018  2 Cd 2.17-2.25
F 0.7018 0.5182 0.5894  2 Cd 2.17-2.25
F 0.7018 0.6836 0.1124  2 Cd 2.17-2.25
F 0.7982 0.3876 0.8164  2 Cd 2.17-2.25
F 0.7982 0.9106 0.9818  2 Cd 2.17-2.25
F 0.8164 0.5182 0.4288  2 Cd 2.17-2.25
F 0.8164 0.7982 0.3876  2 Cd 2.17-2.25
F 0.8876 0.0894 0.5712  2 Cd 2.17-2.25
F 0.8876 0.2982 0.3164  2 Cd 2.17-2.25
F 0.9106 0.4288 0.1124  2 Cd 2.17-2.25
F 0.9106 0.9818 0.7982  2 Cd 2.17-2.25
F 0.9288 0.0182 0.3164  2 Cd 2.17-2.25
F 0.9288 0.4106 0.6124  2 Cd 2.17-2.25
F 0.9818 0.6836 0.0712  2 Cd 2.17-2.25
F 0.9818 0.7982 0.9106  2 Cd 2.17-2.25

Total DFT energy (no corrections) ... -239.72 eV/cell
ΔE_f (raw) ... -1.3679 eV/atom

(4)
CdClF: optimized geometry, PBE.

Cell: 4.6402 4.6402 4.6402 Å, 125.59 125.59 80.57°
With the nearest neighbours (Å) after each atom.
Atoms (fractional coordinates):
Cd 0.0000 0.0000 0.0000  1 F 2.03
Cl 0.6636 0.6636 0.0000  1 Cd 2.38, 1 F 2.66
F 0.2874 0.2874 0.0000  1 Cd 2.03

Total DFT energy (no corrections) ... -8.43 eV/cell
ΔE_f (raw) ... -1.2656 eV/atom
E above lowest polymorph ... 380.1 meV/atom

(5)
CdClF: optimized geometry, PBE.

Cell: 9.8302 9.8302 9.8302 Å, 22.91 22.91 22.91°
With the nearest neighbours (Å) after each atom.
Atoms (fractional coordinates):
Cd 0.1108 0.1108 0.1108  4 F 2.36-2.41
Cd 0.8892 0.8892 0.8892  4 F 2.36-2.41
Cl 0.3953 0.3953 0.3953  3 Cd 2.66
Cl 0.6047 0.6047 0.6047  3 Cd 2.66
F 0.1930 0.1930 0.1930  4 Cd 2.36-2.41
F 0.8070 0.8070 0.8070  4 Cd 2.36-2.41

Total DFT energy (no corrections) ... -19.14 eV/cell
ΔE_f (raw) ... -1.6457 eV/atom
E above lowest polymorph ... 0.0 meV/atom

(6)
CdCl3F: optimized geometry, PBE.

Cell: 5.1894 5.1894 5.1894 Å, 90.00 90.00 90.00°
With the nearest neighbours (Å) after each atom.
Atoms (fractional coordinates):
Cd 0.0000 0.0000 0.0000  6 Cl 2.59
Cl 0.0000 0.0000 0.5000  2 Cd 2.59
Cl 0.0000 0.5000 0.0000  2 Cd 2.59
Cl 0.5000 0.0000 0.0000  2 Cd 2.59
F 0.5000 0.5000 0.5000  12 Cl 3.67

Total DFT energy (no corrections) ... -9.32 eV/cell
ΔE_f (raw) ... -0.1987 eV/atom
E above lowest polymorph ... 0.0 meV/atom

(7)
Cd5Cl12F3: optimized geometry, PBE.

Cell: 13.9410 13.9410 13.9410 Å, 109.47 109.47 109.47°
With the nearest neighbours (Å) after each atom.
Atoms (fractional coordinates):
Cd 0.0000 0.0000 0.0000  6 Cl 2.66
Cd 0.0000 0.0000 0.5000  6 Cl 2.66
Cd 0.0000 0.5000 0.0000  6 Cl 2.66
Cd 0.0000 0.5000 0.5000  6 Cl 2.66
Cd 0.1250 0.7500 0.8750  4 Cl 2.50
Cd 0.1250 0.8750 0.2500  4 Cl 2.50
Cd 0.2500 0.1250 0.8750  4 Cl 2.50
Cd 0.2500 0.6250 0.3750  4 Cl 2.50
Cd 0.3750 0.2500 0.6250  4 Cl 2.50
Cd 0.3750 0.6250 0.7500  4 Cl 2.50
Cd 0.5000 0.0000 0.0000  6 Cl 2.66
Cd 0.5000 0.0000 0.5000  6 Cl 2.66
Cd 0.5000 0.5000 0.0000  6 Cl 2.66
Cd 0.5000 0.5000 0.5000  6 Cl 2.66
Cd 0.6250 0.3750 0.2500  4 Cl 2.50
Cd 0.6250 0.7500 0.3750  4 Cl 2.50
Cd 0.7500 0.3750 0.6250  4 Cl 2.50
Cd 0.7500 0.8750 0.1250  4 Cl 2.50
Cd 0.8750 0.1250 0.7500  4 Cl 2.50
Cd 0.8750 0.2500 0.1250  4 Cl 2.50
Cl 0.0356 0.2165 0.1076  2 Cd 2.50-2.66
Cl 0.0356 0.3190 0.9280  2 Cd 2.50-2.66
Cl 0.0720 0.6076 0.3911  2 Cd 2.50-2.66
Cl 0.0720 0.9644 0.6810  2 Cd 2.50-2.66
Cl 0.1076 0.0356 0.2165  2 Cd 2.50-2.66
Cl 0.1076 0.5720 0.8911  2 Cd 2.50-2.66
Cl 0.1089 0.7165 0.6810  2 Cd 2.50-2.66
Cl 0.1089 0.8924 0.4280  2 Cd 2.50-2.66
Cl 0.1810 0.2165 0.6089  2 Cd 2.50-2.66
Cl 0.1810 0.4644 0.5720  2 Cd 2.50-2.66
Cl 0.2165 0.1076 0.0356  2 Cd 2.50-2.66
Cl 0.2165 0.6089 0.1810  2 Cd 2.50-2.66
Cl 0.2835 0.3190 0.8911  2 Cd 2.50-2.66
Cl 0.2835 0.4644 0.3924  2 Cd 2.50-2.66
Cl 0.3190 0.8911 0.2835  2 Cd 2.50-2.66
Cl 0.3190 0.9280 0.0356  2 Cd 2.50-2.66
Cl 0.3911 0.0720 0.6076  2 Cd 2.50-2.66
Cl 0.3911 0.8190 0.7835  2 Cd 2.50-2.66
Cl 0.3924 0.2835 0.4644  2 Cd 2.50-2.66
Cl 0.3924 0.6089 0.9280  2 Cd 2.50-2.66
Cl 0.4280 0.1089 0.8924  2 Cd 2.50-2.66
Cl 0.4280 0.8190 0.5356  2 Cd 2.50-2.66
Cl 0.4644 0.3924 0.2835  2 Cd 2.50-2.66
Cl 0.4644 0.5720 0.1810  2 Cd 2.50-2.66
Cl 0.5356 0.4280 0.8190  2 Cd 2.50-2.66
Cl 0.5356 0.6076 0.7165  2 Cd 2.50-2.66
Cl 0.5720 0.1810 0.4644  2 Cd 2.50-2.66
Cl 0.5720 0.8911 0.1076  2 Cd 2.50-2.66
Cl 0.6076 0.3911 0.0720  2 Cd 2.50-2.66
Cl 0.6076 0.7165 0.5356  2 Cd 2.50-2.66
Cl 0.6089 0.1810 0.2165  2 Cd 2.50-2.66
Cl 0.6089 0.9280 0.3924  2 Cd 2.50-2.66
Cl 0.6810 0.0720 0.9644  2 Cd 2.50-2.66
Cl 0.6810 0.1089 0.7165  2 Cd 2.50-2.66
Cl 0.7165 0.5356 0.6076  2 Cd 2.50-2.66
Cl 0.7165 0.6810 0.1089  2 Cd 2.50-2.66
Cl 0.7835 0.3911 0.8190  2 Cd 2.50-2.66
Cl 0.7835 0.8924 0.9644  2 Cd 2.50-2.66
Cl 0.8190 0.5356 0.4280  2 Cd 2.50-2.66
Cl 0.8190 0.7835 0.3911  2 Cd 2.50-2.66
Cl 0.8911 0.1076 0.5720  2 Cd 2.50-2.66
Cl 0.8911 0.2835 0.3190  2 Cd 2.50-2.66
Cl 0.8924 0.4280 0.1089  2 Cd 2.50-2.66
Cl 0.8924 0.9644 0.7835  2 Cd 2.50-2.66
Cl 0.9280 0.0356 0.3190  2 Cd 2.50-2.66
Cl 0.9280 0.3924 0.6089  2 Cd 2.50-2.66
Cl 0.9644 0.6810 0.0720  2 Cd 2.50-2.66
Cl 0.9644 0.7835 0.8924  2 Cd 2.50-2.66
F 0.1250 0.2500 0.3750  4 Cl 2.94
F 0.1250 0.3750 0.7500  4 Cl 2.94
F 0.2500 0.3750 0.1250  4 Cl 2.94
F 0.2500 0.8750 0.6250  4 Cl 2.94
F 0.3750 0.1250 0.2500  4 Cl 2.94
F 0.3750 0.7500 0.1250  4 Cl 2.94
F 0.6250 0.2500 0.8750  4 Cl 2.94
F 0.6250 0.8750 0.7500  4 Cl 2.94
F 0.7500 0.1250 0.3750  4 Cl 2.94
F 0.7500 0.6250 0.8750  4 Cl 2.94
F 0.8750 0.6250 0.2500  4 Cl 2.94
F 0.8750 0.7500 0.6250  4 Cl 2.94

Total DFT energy (no corrections) ... -174.59 eV/cell
ΔE_f (raw) ... -0.5649 eV/atom

Please write out number 5 again, unchanged.
CdClF: optimized geometry, PBE.

Cell: 9.8302 9.8302 9.8302 Å, 22.91 22.91 22.91°
With the nearest neighbours (Å) after each atom.
Atoms (fractional coordinates):
Cd 0.1108 0.1108 0.1108  4 F 2.36-2.41
Cd 0.8892 0.8892 0.8892  4 F 2.36-2.41
Cl 0.3953 0.3953 0.3953  3 Cd 2.66
Cl 0.6047 0.6047 0.6047  3 Cd 2.66
F 0.1930 0.1930 0.1930  4 Cd 2.36-2.41
F 0.8070 0.8070 0.8070  4 Cd 2.36-2.41

Total DFT energy (no corrections) ... -19.14 eV/cell
ΔE_f (raw) ... -1.6457 eV/atom
E above lowest polymorph ... 0.0 meV/atom

The highest ΔE_f (raw) belongs to which entry?
CdCl3F